[1]
A relaxed PmPr2Br crystal, computed with PBE-GGA.

```
data_PmPr2Br
_symmetry_space_group_name_H-M 'R -3 m'
_symmetry_Int_Tables_number 166
_symmetry_space_group_name_Hall '-R 3 2"'
_cell_length_a 3.7674
_cell_length_b 3.7674
_cell_length_c 32.0044
_cell_angle_alpha 90.00
_cell_angle_beta 90.00
_cell_angle_gamma 120.00
loop_
_atom_site_label
_atom_site_type_symbol
_atom_site_fract_x
_atom_site_fract_y
_atom_site_fract_z
Pm1 Pm 0.0000 0.0000 0.0000
Pr1 Pr 0.0000 0.0000 0.2420
Br1 Br 0.0000 0.0000 0.5000
```

Output
polymorph energy (0 for the lowest one)	0.0	meV/atom
density of states at the Fermi level	3.44	states/eV/f.u.
formation energy without anion corrections	-0.57	eV/atom
magnetic moment	0.000	μB/atom

=====

[2]
A relaxed PmPrBr2 crystal, computed with PBE-GGA.

```
data_PmPrBr2
_symmetry_space_group_name_H-M 'R -3 m'
_symmetry_Int_Tables_number 166
_symmetry_space_group_name_Hall '-R 3 2"'
_cell_length_a 3.7433
_cell_length_b 3.7433
_cell_length_c 31.0632
_cell_angle_alpha 90.00
_cell_angle_beta 90.00
_cell_angle_gamma 120.00
loop_
_atom_site_label
_atom_site_type_symbol
_atom_site_fract_x
_atom_site_fract_y
_atom_site_fract_z
Pm1 Pm 0.0000 0.0000 0.0000
Pr1 Pr 0.0000 0.0000 0.5000
Br1 Br 0.0000 0.0000 0.4022
```

Output
polymorph energy (0 for the lowest one)	63.6	meV/atom
density of states at the Fermi level	3.48	states/eV/f.u.
formation energy without anion corrections	-1.08	eV/atom
magnetic moment	0.103	μB/atom

=====

[3]
A relaxed PmPr2Br crystal, computed with PBE-GGA.

```
data_PmPr2Br
_symmetry_space_group_name_H-M 'R 3 m'
_symmetry_Int_Tables_number 160
_symmetry_space_group_name_Hall 'R 3 -2"'
_cell_length_a 3.7798
_cell_length_b 3.7798
_cell_length_c 32.1283
_cell_angle_alpha 90.00
_cell_angle_beta 90.00
_cell_angle_gamma 120.00
loop_
_atom_site_label
_atom_site_type_symbol
_atom_site_fract_x
_atom_site_fract_y
_atom_site_fract_z
Pm1 Pm 0.0000 0.0000 0.0000
Pr1 Pr 0.0000 0.0000 0.5750
Pr2 Pr 0.0000 0.0000 0.7586
Br1 Br 0.0000 0.0000 0.1665
```

Output
polymorph energy (0 for the lowest one)	16.2	meV/atom
density of states at the Fermi level	4.21	states/eV/f.u.
formation energy without anion corrections	-0.55	eV/atom
magnetic moment	0.245	μB/atom

=====

[4]
A relaxed PmPrBr2 crystal, computed with PBE-GGA.

```
data_PmPrBr2
_symmetry_space_group_name_H-M 'R 3 m'
_symmetry_Int_Tables_number 160
_symmetry_space_group_name_Hall 'R 3 -2"'
_cell_length_a 3.7055
_cell_length_b 3.7055
_cell_length_c 28.1132
_cell_angle_alpha 90.00
_cell_angle_beta 90.00
_cell_angle_gamma 120.00
loop_
_atom_site_label
_atom_site_type_symbol
_atom_site_fract_x
_atom_site_fract_y
_atom_site_fract_z
Pm1 Pm 0.0000 0.0000 0.0000
Pr1 Pr 0.0000 0.0000 0.1642
Br1 Br 0.0000 0.0000 0.4144
Br2 Br 0.0000 0.0000 0.5837
```

Output
polymorph energy (0 for the lowest one)	0.0	meV/atom
density of states at the Fermi level	1.44	states/eV/f.u.
formation energy without anion corrections	-1.15	eV/atom
magnetic moment	0.000	μB/atom

=====

[5]
A relaxed PmPrBr3 crystal, computed with PBE-GGA.

```
data_PmPrBr3
_symmetry_space_group_name_H-M 'P -1'
_symmetry_Int_Tables_number 2
_cell_length_a 6.7746
_cell_length_b 6.7796
_cell_length_c 8.9578
_cell_angle_alpha 67.79
_cell_angle_beta 67.79
_cell_angle_gamma 60.03
loop_
_symmetry_equiv_pos_as_xyz
'x,y,z'
'-x,-y,-z'
loop_
_atom_site_label
_atom_site_type_symbol
_atom_site_fract_x
_atom_site_fract_y
_atom_site_fract_z
Pm1 Pm 0.1687 0.1681 0.4938
Pr1 Pr 0.3311 0.3312 0.0062
Br1 Br 0.0885 0.4148 0.7438
Br2 Br 0.2476 0.9110 0.2559
Br3 Br 0.4151 0.7522 0.7438
```

Output
polymorph energy (0 for the lowest one)	206.9	meV/atom
density of states at the Fermi level	4.00	states/eV/f.u.
formation energy without anion corrections	-1.32	eV/atom
magnetic moment	0.281	μB/atom

=====

[6]
A relaxed Pm2PrBr5 crystal, computed with PBE-GGA.

```
data_Pm2PrBr5
_symmetry_space_group_name_H-M 'P n n m'
_symmetry_Int_Tables_number 58
_cell_length_a 12.9175
_cell_length_b 13.2399
_cell_length_c 7.1251
_cell_angle_alpha 90.00
_cell_angle_beta 90.00
_cell_angle_gamma 90.00
loop_
_symmetry_equiv_pos_as_xyz
'x,y,z'
'-x,-y,-z'
'-x,-y,z'
'x,y,-z'
'x+1/2,-y+1/2,-z+1/2'
'-x+1/2,y+1/2,z+1/2'
'-x+1/2,y+1/2,-z+1/2'
'x+1/2,-y+1/2,z+1/2'
loop_
_atom_site_label
_atom_site_type_symbol
_atom_site_fract_x
_atom_site_fract_y
_atom_site_fract_z
Pm1 Pm 0.0000 0.0000 0.2478
Pm2 Pm 0.1032 0.3949 0.5000
Pr1 Pr 0.2154 0.2973 0.0000
Br1 Br 0.0548 0.2194 0.2536
Br2 Br 0.1344 0.6176 0.5000
Br3 Br 0.1645 0.9115 0.0000
Br4 Br 0.1862 0.9965 0.5000
```

Output
density of states at the Fermi level	4.46	states/eV/f.u.
formation energy without anion corrections	-1.29	eV/atom
magnetic moment	0.243	μB/atom

=====

What did the sixth record say?
A relaxed Pm2PrBr5 crystal, computed with PBE-GGA.

```
data_Pm2PrBr5
_symmetry_space_group_name_H-M 'P n n m'
_symmetry_Int_Tables_number 58
_cell_length_a 12.9175
_cell_length_b 13.2399
_cell_length_c 7.1251
_cell_angle_alpha 90.00
_cell_angle_beta 90.00
_cell_angle_gamma 90.00
loop_
_symmetry_equiv_pos_as_xyz
'x,y,z'
'-x,-y,-z'
'-x,-y,z'
'x,y,-z'
'x+1/2,-y+1/2,-z+1/2'
'-x+1/2,y+1/2,z+1/2'
'-x+1/2,y+1/2,-z+1/2'
'x+1/2,-y+1/2,z+1/2'
loop_
_atom_site_label
_atom_site_type_symbol
_atom_site_fract_x
_atom_site_fract_y
_atom_site_fract_z
Pm1 Pm 0.0000 0.0000 0.2478
Pm2 Pm 0.1032 0.3949 0.5000
Pr1 Pr 0.2154 0.2973 0.0000
Br1 Br 0.0548 0.2194 0.2536
Br2 Br 0.1344 0.6176 0.5000
Br3 Br 0.1645 0.9115 0.0000
Br4 Br 0.1862 0.9965 0.5000
```

Output
density of states at the Fermi level	4.46	states/eV/f.u.
formation energy without anion corrections	-1.29	eV/atom
magnetic moment	0.243	μB/atom